Compound: Gd3Tc5S12
Source: Alexandria
Functional: GGA-PBE
Structure: relaxed

Computed properties:
The uncorrected formation energy is -16.68 eV per formula unit. The value obtained for the total energy is -8.0140 eV per atom. The value obtained for the volume is 20.441 A^3/atom.

a = 14.8435 Å, b = 14.8435 Å, c = 14.8435 Å
α = 90.00°, β = 90.00°, γ = 90.00°
With the nearest neighbours (Å) after each atom.
Space group Ia-3d (No. 230)
Inequivalent atoms, fractional coordinates:
Gd 0.0000 0.2500 0.1250 (multiplicity 24)  8 S 2.89-2.93
Tc 0.0000 0.0000 0.0000 (multiplicity 16)  6 S 2.39
Tc 0.0000 0.2500 0.3750 (multiplicity 24)  4 S 2.24
S 0.0322 0.0593 0.6464 (multiplicity 96)  2 Tc 2.24-2.39